Entry 1:
Density functional theory data (PBEsol) for a geometry-optimized CsK structure.

Geometry as CIF:
```
data_CsK
_chemical_formula_sum 'Cs2 K2'
_symmetry_space_group_name_H-M 'C m m m'
_symmetry_Int_Tables_number 65
_symmetry_space_group_name_Hall '-C 2 2'
_cell_length_a 7.370
_cell_length_b 7.388
_cell_length_c 6.384
_cell_angle_alpha 90.00
_cell_angle_beta 90.00
_cell_angle_gamma 90.00
loop_
_atom_site_label
_atom_site_fract_x
_atom_site_fract_y
_atom_site_fract_z
Cs1 0.000 0.000 0.000
K1 0.000 0.500 0.500
```

Output
Calculated total energy, eV/atom: -1.03
Formation enthalpy at 0 K, eV/atom: 0.0078
Total magnetic moment, μB per formula unit: 0.0
V, Å³/atom: 86.90

Entry 2:
Density functional theory data (PBEsol) for a geometry-optimized CsK2 structure.

Geometry as CIF:
```
data_CsK2
_chemical_formula_sum 'Cs4 K8'
_symmetry_space_group_name_H-M 'P 63/m m c'
_symmetry_Int_Tables_number 194
_symmetry_space_group_name_Hall '-P 6c 2c'
_cell_length_a 8.8715
_cell_length_b 8.8715
_cell_length_c 14.5136
_cell_angle_alpha 90.00
_cell_angle_beta 90.00
_cell_angle_gamma 120.00
loop_
_atom_site_label
_atom_site_fract_x
_atom_site_fract_y
_atom_site_fract_z
Cs1 0.3333 0.6667 0.0634
K1 0.0000 0.0000 0.0000
K2 0.1698 0.3395 0.7500
```

Output
Calculated total energy, eV/atom: -1.07
Formation enthalpy at 0 K, eV/atom: -0.0041
Total magnetic moment, μB per formula unit: 0.0
V, Å³/atom: 82.44